# Ba5NaSr2

An optimized crystal structure of Ba5NaSr2 (PBE, Alexandria).

a = 8.5981 Å, b = 17.0295 Å, c = 6.4826 Å
α = 90.00°, β = 90.00°, γ = 90.00°
Last column: nearest neighbours and their distance in Å.
Fractional positions:
Ba1 0.0000 0.0000 0.0000  2 Na 4.30, 4 Sr 4.30, 6 Ba 4.44-4.57
Ba2 0.0619 0.2589 0.0000  1 Na 4.14, 4 Sr 4.27-4.44, 7 Ba 4.31-4.60
Ba3 0.1961 0.6111 0.5000  2 Na 4.11, 4 Sr 4.28-4.36, 6 Ba 4.51-4.60
Ba4 0.3039 0.1111 0.5000  2 Na 4.11, 4 Sr 4.28-4.36, 6 Ba 4.51-4.60
Ba5 0.4381 0.7589 0.0000  1 Na 4.14, 4 Sr 4.27-4.44, 7 Ba 4.31-4.60
Ba6 0.5000 0.5000 0.0000  2 Na 4.30, 4 Sr 4.30, 6 Ba 4.44-4.57
Ba7 0.5619 0.2411 0.0000  1 Na 4.14, 4 Sr 4.27-4.44, 7 Ba 4.31-4.60
Ba8 0.6961 0.8889 0.5000  2 Na 4.11, 4 Sr 4.28-4.36, 6 Ba 4.51-4.60
Ba9 0.8039 0.3889 0.5000  2 Na 4.11, 4 Sr 4.28-4.36, 6 Ba 4.51-4.60
Ba10 0.9381 0.7411 0.0000  1 Na 4.14, 4 Sr 4.27-4.44, 7 Ba 4.31-4.60
Na1 0.0000 0.5000 0.0000  8 Ba 4.11-4.30
Na2 0.5000 0.0000 0.0000  8 Ba 4.11-4.30
Sr1 0.1917 0.8648 0.5000  10 Ba 4.27-4.44, 2 Na 4.78
Sr2 0.3083 0.3648 0.5000  10 Ba 4.27-4.44, 2 Na 4.78
Sr3 0.6917 0.6352 0.5000  10 Ba 4.27-4.44, 2 Na 4.78
Sr4 0.8083 0.1352 0.5000  10 Ba 4.27-4.44, 2 Na 4.78

## Properties
Crystal system   orthorhombic
Space-group type   Pbam (55)
Formation enthalpy at 0 K   0.234 eV per formula unit


# BeSbAs2

An optimized crystal structure of BeSbAs2 (PBE, Alexandria).

a = 3.8266 Å, b = 3.8266 Å, c = 5.3223 Å
α = 90.00°, β = 90.00°, γ = 90.00°
Last column: nearest neighbours and their distance in Å.
Fractional positions:
Be1 0.0000 0.0000 0.0000  4 Sb 2.71
Sb1 0.5000 0.5000 0.0000  4 Be 2.71
As1 0.0000 0.5000 0.5000  4 As 2.71
As2 0.5000 0.0000 0.5000  4 As 2.71

## Properties
Crystal system   tetragonal
Space-group type   P4/mmm (123)
Formation energy without anion corrections   0.566 eV per atom
Excess energy over the best structure of this formula in the dataset   2.152 eV per formula unit


# NaTe2Ru

An optimized crystal structure of NaTe2Ru (PBE, Alexandria).

a = 7.5625 Å, b = 7.5625 Å, c = 8.5759 Å
α = 90.00°, β = 90.00°, γ = 90.00°
Last column: nearest neighbours and their distance in Å.
Fractional positions:
Na1 0.0000 0.0000 0.0000  4 Te 3.29
Na2 0.0000 0.5000 0.2500  4 Te 3.29
Na3 0.5000 0.0000 0.7500  4 Te 3.29
Na4 0.5000 0.5000 0.5000  4 Te 3.29
Te1 0.1741 0.2500 0.6250  2 Ru 2.54
Te2 0.2500 0.6741 0.8750  2 Ru 2.54
Te3 0.2500 0.8259 0.3750  2 Ru 2.54
Te4 0.3259 0.2500 0.1250  2 Ru 2.54
Te5 0.6741 0.7500 0.1250  2 Ru 2.54
Te6 0.7500 0.1741 0.3750  2 Ru 2.54
Te7 0.7500 0.3259 0.8750  2 Ru 2.54
Te8 0.8259 0.7500 0.6250  2 Ru 2.54
Ru1 0.0000 0.0000 0.5000  4 Te 2.54
Ru2 0.0000 0.5000 0.7500  4 Te 2.54
Ru3 0.5000 0.0000 0.2500  4 Te 2.54
Ru4 0.5000 0.5000 0.0000  4 Te 2.54

## Properties
Crystal system   tetragonal
Space-group type   I-42d (122)
Formation energy without anion corrections   -0.141 eV per atom
Excess energy over the best structure of this formula in the dataset   0.207 eV per formula unit


# RbHf2Te4

An optimized crystal structure of RbHf2Te4 (PBE, Alexandria).

a = 7.3763 Å, b = 7.3763 Å, c = 14.8341 Å
α = 90.00°, β = 90.00°, γ = 146.37°
Last column: nearest neighbours and their distance in Å.
Fractional positions:
Rb1 0.1103 0.8897 0.7500  6 Te 3.50-3.51
Rb2 0.8897 0.1103 0.2500  6 Te 3.50-3.51
Hf1 0.3718 0.6282 0.5644  6 Te 2.82-2.96
Hf2 0.3718 0.6282 0.9356  6 Te 2.82-2.96
Hf3 0.6282 0.3718 0.0644  6 Te 2.82-2.96
Hf4 0.6282 0.3718 0.4356  6 Te 2.82-2.96
Te1 0.0000 0.0000 0.0000  4 Hf 2.96
Te2 0.0000 0.0000 0.5000  4 Hf 2.96
Te3 0.2647 0.7353 0.1046  3 Hf 2.93-2.94
Te4 0.2647 0.7353 0.3954  3 Hf 2.93-2.94
Te5 0.4142 0.5858 0.7500  2 Hf 2.82
Te6 0.5858 0.4142 0.2500  2 Hf 2.82
Te7 0.7353 0.2647 0.6046  3 Hf 2.93-2.94
Te8 0.7353 0.2647 0.8954  3 Hf 2.93-2.94

## Properties
Crystal system   orthorhombic
Space-group type   Cmcm (63)
Formation energy without anion corrections   -0.758 eV per atom
Excess energy over the best structure of this formula in the dataset   1.082 eV per formula unit


# TbHo2Au

An optimized crystal structure of TbHo2Au (PBE, Alexandria).

a = 6.9517 Å, b = 9.7375 Å, c = 6.6577 Å
α = 90.00°, β = 90.00°, γ = 90.00°
Last column: nearest neighbours and their distance in Å.
Fractional positions:
Tb1 0.0106 0.2500 0.1187  2 Au 2.93-2.98
Tb2 0.4894 0.7500 0.6187  2 Au 2.93-2.98
Tb3 0.5106 0.2500 0.3813  2 Au 2.93-2.98
Tb4 0.9894 0.7500 0.8813  2 Au 2.93-2.98
Ho1 0.1947 0.0545 0.6919  2 Au 2.92-2.98
Ho2 0.1947 0.4455 0.6919  2 Au 2.92-2.98
Ho3 0.3053 0.5545 0.1919  2 Au 2.92-2.98
Ho4 0.3053 0.9455 0.1919  2 Au 2.92-2.98
Ho5 0.6947 0.0545 0.8081  2 Au 2.92-2.98
Ho6 0.6947 0.4455 0.8081  2 Au 2.92-2.98
Ho7 0.8053 0.5545 0.3081  2 Au 2.92-2.98
Ho8 0.8053 0.9455 0.3081  2 Au 2.92-2.98
Au1 0.0912 0.7500 0.4547  4 Ho 2.92-2.98, 2 Tb 2.93-2.98
Au2 0.4088 0.2500 0.9547  4 Ho 2.92-2.98, 2 Tb 2.93-2.98
Au3 0.5912 0.7500 0.0453  4 Ho 2.92-2.98, 2 Tb 2.93-2.98
Au4 0.9088 0.2500 0.5453  4 Ho 2.92-2.98, 2 Tb 2.93-2.98

## Properties
Crystal system   orthorhombic
Space-group type   Pnma (62)
Formation enthalpy at 0 K   -1.791 eV per formula unit
Excess energy over the best structure of this formula in the dataset   0.000 eV per formula unit


# CrFeAs2

An optimized crystal structure of CrFeAs2 (PBE, Alexandria).

a = 2.7244 Å, b = 2.7244 Å, c = 8.6035 Å
α = 90.00°, β = 90.00°, γ = 90.00°
Last column: nearest neighbours and their distance in Å.
Fractional positions:
Cr1 0.0000 0.0000 0.0000  4 Fe 2.48, 4 As 2.63, 4 Cr 2.72
Fe1 0.5000 0.5000 0.1814  4 Cr 2.48, 4 As 2.49, 4 Fe 2.72
As1 0.0000 0.0000 0.3649  4 Fe 2.49, 4 As 2.72
As2 0.5000 0.5000 0.7916  4 Cr 2.63, 4 As 2.72

## Properties
Crystal system   tetragonal
Space-group type   P4mm (99)
Formation enthalpy at 0 K   0.231 eV per formula unit
Excess energy over the best structure of this formula in the dataset   1.047 eV per formula unit


# LiPaNbO5

An optimized crystal structure of LiPaNbO5 (PBE, Alexandria).

a = 5.6219 Å, b = 5.6219 Å, c = 7.9964 Å
α = 104.72°, β = 104.72°, γ = 105.98°
Last column: nearest neighbours and their distance in Å.
Fractional positions:
Li1 0.0618 0.9382 0.7500  4 O 1.92-1.95
Li2 0.9382 0.0618 0.2500  4 O 1.92-1.95
Pa1 0.0000 0.5000 0.0000  6 O 2.13-2.33
Pa2 0.5000 0.0000 0.5000  6 O 2.13-2.33
Nb1 0.3836 0.6164 0.7500  5 O 1.98-2.09
Nb2 0.6164 0.3836 0.2500  5 O 1.98-2.09
O1 0.1569 0.3129 0.8117  1 Li 1.92, 1 Nb 2.08, 1 Pa 2.13
O2 0.1994 0.7587 0.5765  1 Li 1.95, 1 Nb 1.98, 1 Pa 2.18
O3 0.2413 0.8006 0.9235  1 Li 1.95, 1 Nb 1.98, 1 Pa 2.18
O4 0.3129 0.1569 0.3117  1 Li 1.92, 1 Nb 2.08, 1 Pa 2.13
O5 0.3833 0.6167 0.2500  1 Nb 2.09, 2 Pa 2.33
O6 0.6167 0.3833 0.7500  1 Nb 2.09, 2 Pa 2.33
O7 0.6871 0.8431 0.6883  1 Li 1.92, 1 Nb 2.08, 1 Pa 2.13
O8 0.7587 0.1994 0.0765  1 Li 1.95, 1 Nb 1.98, 1 Pa 2.18
O9 0.8006 0.2413 0.4235  1 Li 1.95, 1 Nb 1.98, 1 Pa 2.18
O10 0.8431 0.6871 0.1883  1 Li 1.92, 1 Nb 2.08, 1 Pa 2.13

## Properties
Crystal system   monoclinic
Space-group type   C2/c (15)
Formation energy without anion corrections   -2.698 eV per atom


# AcAgHg2O4

An optimized crystal structure of AcAgHg2O4 (PBE, Alexandria).

a = 6.3568 Å, b = 6.6912 Å, c = 6.8386 Å
α = 90.00°, β = 90.00°, γ = 90.00°
Last column: nearest neighbours and their distance in Å.
Fractional positions:
Ac1 0.0000 0.0000 0.0000  4 O 2.48
Ac2 0.5000 0.5000 0.5000  4 O 2.48
Ag1 0.0000 0.5000 0.0000  4 O 2.44
Ag2 0.5000 0.0000 0.5000  4 O 2.44
Hg1 0.0000 0.2482 0.5000  2 O 2.04
Hg2 0.0000 0.7518 0.5000  2 O 2.04
Hg3 0.5000 0.2518 0.0000  2 O 2.04
Hg4 0.5000 0.7482 0.0000  2 O 2.04
O1 0.2275 0.2538 0.8420  1 Hg 2.04
O2 0.2275 0.7462 0.1580  1 Hg 2.04
O3 0.2725 0.2462 0.3420  1 Hg 2.04
O4 0.2725 0.7538 0.6580  1 Hg 2.04
O5 0.7275 0.2462 0.6580  1 Hg 2.04
O6 0.7275 0.7538 0.3420  1 Hg 2.04
O7 0.7725 0.2538 0.1580  1 Hg 2.04
O8 0.7725 0.7462 0.8420  1 Hg 2.04

## Properties
Crystal system   orthorhombic
Space-group type   I222 (23)
Formation energy without anion corrections   -1.075 eV per atom


no.,M_tot (μB per cell)
1,0.00
2,0.00
3,0.00
4,0.00
5,0.00
6,0.00
7,2.06
8,0.00